Density functional theory data (GGA+U) for an optimized crystal structure of V2O5.

Computed properties:
- VASP energy (eV/atom) = -7.440
- total magnetic moment (μB/f.u.) = 0.00

Unit cell a=10.1705 b=5.6701 c=9.0822 alpha=90.00 beta=110.75 gamma=90.00
With the nearest neighbours (Å) after each atom.
Space group P2_1/c (No. 14)
Asymmetric unit:
V 0.1046 0.0059 0.3190 [4 per cell]  4 O 1.62-1.81
V 0.3951 0.5068 0.6831 [4 per cell]  4 O 1.62-1.81
O 0.0206 0.2086 0.7903 [4 per cell]  2 V 1.79-1.81
O 0.1589 0.5582 0.0045 [4 per cell]  1 V 1.62
O 0.2510 0.5018 0.7529 [4 per cell]  2 V 1.79
O 0.3384 0.0592 0.9978 [4 per cell]  1 V 1.62
O 0.4792 0.7079 0.2086 [4 per cell]  2 V 1.79-1.81